{"formula": "AgHCl3", "functional": "PBE", "state": "relaxed", "de_polymorph_mev_per_atom": 774, "total_energy_ev_per_cell": -9.74, "vol_a3_per_cell": 124.0, "cell": [[-1.9770, -4.5192, 0.7316], [2.8652, -0.5999, 4.0371], [-3.5706, 2.0209, 2.8344]], "species": ["H", "Ag", "Cl", "Cl", "Cl"], "frac_coords": [[0.5000, 0.5000, 0.5000], [0.0000, 0.0000, 0.0000], [0.0000, 0.5000, 0.0000], [0.0000, 0.0000, 0.5000], [0.5000, 0.0000, 0.0000]]}

---

{"formula": "AgH2Cl2", "functional": "PBE", "state": "relaxed", "de_polymorph_mev_per_atom": 0, "total_energy_ev_per_cell": -28.47, "vol_a3_per_cell": 248.2, "cell": [[7.7439, 0.0000, 0.0000], [-3.8720, 4.4552, -0.3214], [0.0000, 0.9158, 7.1283]], "species": ["Ag", "Ag", "H", "H", "H", "H", "Cl", "Cl", "Cl", "Cl"], "frac_coords": [[0.0026, 0.0000, 0.2500], [0.9974, 0.0000, 0.7500], [0.4323, 0.0752, 0.2236], [0.3571, 0.9248, 0.2764], [0.5677, 0.9248, 0.7764], [0.6429, 0.0752, 0.7236], [0.1890, 0.3758, 0.4869], [0.8132, 0.6242, 0.0131], [0.8110, 0.6242, 0.5131], [0.1868, 0.3758, 0.9869]]}

---

{"formula": "AgHCl2", "functional": "PBE", "state": "relaxed", "de_polymorph_mev_per_atom": 14, "total_energy_ev_per_cell": -35.00, "vol_a3_per_cell": 270.6, "cell": [[-3.5631, -2.2414, -0.1202], [-0.0424, -3.9642, 1.4112], [-4.1671, 5.7591, 16.1405]], "species": ["Ag", "Ag", "Ag", "H", "H", "H", "Cl", "Cl", "Cl", "Cl", "Cl", "Cl"], "frac_coords": [[0.3296, 0.0000, 0.1667], [0.6715, 0.3291, 0.8333], [0.0006, 0.6709, 0.5001], [0.0005, 0.6645, 0.0000], [0.6650, 0.3355, 0.3333], [0.3360, 0.0000, 0.6667], [0.0031, 0.6626, 0.9116], [0.3333, 0.0035, 0.5783], [0.6621, 0.3338, 0.2449], [0.6656, 0.3374, 0.4217], [0.9959, 0.6662, 0.0884], [0.3368, 0.9965, 0.7551]]}

---

{"formula": "Ag2H2Cl", "functional": "PBE", "state": "relaxed", "total_energy_ev_per_cell": -28.47, "vol_a3_per_cell": 208.4, "cell": [[-0.7132, -2.9591, 0.6489], [-2.7639, 0.8795, 14.4889], [-6.7057, 5.0796, 14.3415]], "species": ["Ag", "Ag", "Ag", "Ag", "H", "H", "H", "H", "Cl", "Cl"], "frac_coords": [[0.5001, 0.7423, 0.6794], [0.4281, 0.8322, 0.7824], [0.4999, 0.2577, 0.3206], [0.5719, 0.1678, 0.2176], [0.4820, 0.6301, 0.4910], [0.9643, 0.2721, 0.0694], [0.5180, 0.3699, 0.5090], [0.0357, 0.7279, 0.9306], [0.2929, 0.4717, 0.6439], [0.7071, 0.5283, 0.3561]]}

---

{"formula": "AgHCl", "functional": "PBE", "state": "relaxed", "de_polymorph_mev_per_atom": 334, "total_energy_ev_per_cell": -7.89, "vol_a3_per_cell": 51.0, "cell": [[3.8113, -0.0619, 0.0000], [-0.0612, 3.8088, 0.0000], [0.0000, 0.0000, 3.5117]], "species": ["Ag", "H", "Cl"], "frac_coords": [[0.0905, 0.7721, 0.0000], [0.0903, 0.7724, 0.5000], [0.5900, 0.2725, 0.0000]]}

---

{"formula": "Ag3HCl", "functional": "PBE", "state": "relaxed", "total_energy_ev_per_cell": -12.98, "vol_a3_per_cell": 80.6, "cell": [[4.3188, 0.0000, 0.0000], [0.0000, 4.3188, 0.0000], [0.0000, 0.0000, 4.3188]], "species": ["H", "Ag", "Ag", "Ag", "Cl"], "frac_coords": [[0.0000, 0.0000, 0.0000], [0.0000, 0.5000, 0.0000], [0.0000, 0.0000, 0.5000], [0.5000, 0.0000, 0.0000], [0.5000, 0.5000, 0.5000]]}

---

{"formula": "AgHCl3", "functional": "PBE", "state": "relaxed", "de_polymorph_mev_per_atom": 793, "total_energy_ev_per_cell": -9.64, "vol_a3_per_cell": 89.9, "cell": [[-3.8660, 2.0196, 1.0194], [-1.7793, -3.9610, 1.0994], [1.3972, 0.5440, 4.2209]], "species": ["H", "Ag", "Cl", "Cl", "Cl"], "frac_coords": [[0.0000, 0.0000, 0.0000], [0.5000, 0.5000, 0.5000], [0.0000, 0.5000, 0.0000], [0.0000, 0.0000, 0.5000], [0.5000, 0.0000, 0.0000]]}

---

{"formula": "AgHCl2", "functional": "PBE", "state": "relaxed", "de_polymorph_mev_per_atom": 13, "total_energy_ev_per_cell": -11.67, "vol_a3_per_cell": 90.2, "cell": [[2.4308, 0.0000, 5.8769], [-1.2154, 2.1051, 5.8769], [-1.2154, -2.1051, 5.8769]], "species": ["H", "Ag", "Cl", "Cl"], "frac_coords": [[0.0000, 0.0000, 0.0000], [0.5000, 0.5000, 0.5000], [0.9116, 0.9116, 0.9116], [0.0884, 0.0884, 0.0884]]}

---

{"formula": "AgHCl2", "functional": "PBE", "state": "relaxed", "de_polymorph_mev_per_atom": 685, "total_energy_ev_per_cell": -8.98, "vol_a3_per_cell": 72.3, "cell": [[1.9700, 0.0000, 7.1732], [-0.9850, 1.7061, 7.1732], [-0.9850, -1.7061, 7.1732]], "species": ["H", "Ag", "Cl", "Cl"], "frac_coords": [[0.5000, 0.5000, 0.5000], [0.0000, 0.0000, 0.0000], [0.8905, 0.8905, 0.8905], [0.1095, 0.1095, 0.1095]]}

---

{"formula": "AgHCl2", "functional": "PBE", "state": "relaxed", "de_polymorph_mev_per_atom": 365, "total_energy_ev_per_cell": -20.52, "vol_a3_per_cell": 143.3, "cell": [[5.5133, 0.0000, 0.0000], [0.0000, 5.5133, 0.0000], [2.7567, 2.7567, 4.7140]], "species": ["H", "H", "Ag", "Ag", "Cl", "Cl", "Cl", "Cl"], "frac_coords": [[0.5000, 0.5000, 0.0000], [0.2500, 0.7500, 0.5000], [0.0000, 0.0000, 0.0000], [0.7500, 0.2500, 0.5000], [0.5341, 0.1250, 0.2500], [0.2159, 0.6250, 0.2500], [0.3750, 0.4659, 0.7500], [0.8750, 0.7841, 0.7500]]}

---

{"formula": "Ag4HCl2", "functional": "PBE", "state": "relaxed", "total_energy_ev_per_cell": -18.69, "vol_a3_per_cell": 127.7, "cell": [[3.9701, 0.0000, 0.0000], [0.0000, 3.9701, 0.0000], [1.9850, 1.9850, 8.1008]], "species": ["H", "Ag", "Ag", "Ag", "Ag", "Cl", "Cl"], "frac_coords": [[0.0000, 0.0000, 0.0000], [0.8508, 0.8508, 0.2985], [0.1492, 0.1492, 0.7015], [0.0000, 0.5000, 0.0000], [0.5000, 0.0000, 0.0000], [0.6768, 0.6768, 0.6464], [0.3232, 0.3232, 0.3536]]}

---

{"formula": "Ag2H2Cl7", "functional": "PBE", "state": "relaxed", "total_energy_ev_per_cell": -57.25, "vol_a3_per_cell": 779.8, "cell": [[6.1437, 4.5903, 0.7728], [-6.1437, 4.5903, 0.7728], [0.0000, 7.5136, 15.0910]], "species": ["Ag", "Ag", "Ag", "Ag", "H", "H", "H", "H", "Cl", "Cl", "Cl", "Cl", "Cl", "Cl", "Cl", "Cl", "Cl", "Cl", "Cl", "Cl", "Cl", "Cl"], "frac_coords": [[0.9710, 0.9896, 0.1068], [0.9896, 0.9710, 0.6068], [0.0104, 0.0290, 0.3932], [0.0290, 0.0104, 0.8932], [0.1941, 0.7981, 0.4898], [0.2019, 0.8059, 0.0102], [0.7981, 0.1941, 0.9898], [0.8059, 0.2019, 0.5102], [0.2151, 0.8445, 0.3893], [0.7605, 0.1622, 0.0928], [0.6140, 0.6295, 0.4347], [0.9708, 0.0292, 0.2500], [0.8445, 0.2151, 0.8893], [0.1622, 0.7605, 0.5928], [0.6295, 0.6140, 0.9347], [0.3705, 0.3860, 0.0653], [0.8378, 0.2394, 0.4072], [0.1555, 0.7849, 0.1107], [0.0292, 0.9708, 0.7500], [0.3860, 0.3705, 0.5653], [0.2394, 0.8378, 0.9072], [0.7849, 0.1555, 0.6107]]}

---

{"formula": "Ag2H2Cl3", "functional": "PBE", "state": "relaxed", "total_energy_ev_per_cell": -19.87, "vol_a3_per_cell": 159.5, "cell": [[-3.1763, -0.9235, -1.6971], [-0.3399, -6.4789, 0.1256], [-6.4087, -0.8270, 4.3970]], "species": ["Ag", "Ag", "H", "H", "Cl", "Cl", "Cl"], "frac_coords": [[0.9769, 0.2721, 0.8869], [0.0231, 0.7279, 0.1131], [0.4982, 0.0557, 0.4768], [0.5018, 0.9443, 0.5232], [0.5000, 0.0000, 0.0000], [0.4986, 0.5003, 0.2521], [0.5014, 0.4997, 0.7479]]}

---

{"formula": "Ag2HCl6", "functional": "PBE", "state": "relaxed", "de_polymorph_mev_per_atom": 0, "total_energy_ev_per_cell": -22.81, "vol_a3_per_cell": 265.7, "cell": [[-4.2240, -4.1200, 0.3954], [2.4476, 2.6714, 9.2127], [-6.4557, 0.4889, 4.7321]], "species": ["Ag", "Ag", "H", "Cl", "Cl", "Cl", "Cl", "Cl", "Cl"], "frac_coords": [[0.8905, 0.6346, 0.0828], [0.1094, 0.3654, 0.9173], [0.0002, 0.9999, 0.9999], [0.3319, 0.5748, 0.3663], [0.6678, 0.4251, 0.6338], [0.7417, 0.0450, 0.0952], [0.5580, 0.3246, 0.2180], [0.2586, 0.9551, 0.9046], [0.4419, 0.6754, 0.7821]]}

---

{"formula": "AgHCl", "functional": "PBE", "state": "relaxed", "de_polymorph_mev_per_atom": 375, "total_energy_ev_per_cell": -23.30, "vol_a3_per_cell": 181.8, "cell": [[6.2725, 0.0000, 0.0000], [3.1362, 5.4321, 0.0000], [3.1362, 1.8107, 5.3362]], "species": ["H", "H", "H", "Ag", "Ag", "Ag", "Cl", "Cl", "Cl"], "frac_coords": [[0.4176, 0.0178, 0.2418], [0.0178, 0.3229, 0.2418], [0.3229, 0.4176, 0.2418], [0.1704, 0.1704, 0.4887], [0.3351, 0.3351, 0.9947], [0.6353, 0.6353, 0.0940], [0.7584, 0.4291, 0.7503], [0.0622, 0.7584, 0.7503], [0.4291, 0.0622, 0.7503]]}

---

{"formula": "AgHCl3", "functional": "PBE", "state": "relaxed", "de_polymorph_mev_per_atom": 0, "total_energy_ev_per_cell": -54.42, "vol_a3_per_cell": 557.6, "cell": [[-1.4373, 0.1437, -4.1744], [8.7093, -15.6845, -3.5387], [1.7718, -16.8872, -1.1914]], "species": ["Ag", "Ag", "Ag", "Ag", "H", "H", "H", "H", "Cl", "Cl", "Cl", "Cl", "Cl", "Cl", "Cl", "Cl", "Cl", "Cl", "Cl", "Cl"], "frac_coords": [[0.7305, 0.1861, 0.5224], [0.2695, 0.8139, 0.4776], [0.2305, 0.8139, 0.9776], [0.7695, 0.1861, 0.0224], [0.1807, 0.4263, 0.4299], [0.8193, 0.5737, 0.5701], [0.6807, 0.5737, 0.0701], [0.3193, 0.4263, 0.9299], [0.0718, 0.0497, 0.3985], [0.9282, 0.9503, 0.6015], [0.5718, 0.9503, 0.1015], [0.4282, 0.0497, 0.8985], [0.2239, 0.1931, 0.5970], [0.7761, 0.8069, 0.4030], [0.7239, 0.8069, 0.9030], [0.2761, 0.1931, 0.0970], [0.8519, 0.4214, 0.6787], [0.1481, 0.5786, 0.3213], [0.3519, 0.5786, 0.8213], [0.6481, 0.4214, 0.1787]]}

---

{"formula": "AgH2Cl", "functional": "PBE", "state": "relaxed", "de_polymorph_mev_per_atom": 0, "total_energy_ev_per_cell": -11.38, "vol_a3_per_cell": 92.9, "cell": [[6.8861, 0.0000, -2.9986], [-1.0559, 2.2236, -2.4252], [-1.3041, 0.1730, 6.4129]], "species": ["Ag", "H", "H", "Cl"], "frac_coords": [[0.8987, 0.3799, 0.7974], [0.9146, 0.9162, 0.8293], [0.2837, 0.8234, 0.5674], [0.4029, 0.3805, 0.8059]]}

---

{"formula": "AgH2Cl", "functional": "PBE", "state": "relaxed", "de_polymorph_mev_per_atom": 493, "total_energy_ev_per_cell": -18.82, "vol_a3_per_cell": 107.1, "cell": [[-3.8809, 2.8676, 0.4213], [-0.4481, 0.1021, -4.8219], [-4.8627, -2.1922, -2.0274]], "species": ["H", "H", "H", "H", "Ag", "Ag", "Cl", "Cl"], "frac_coords": [[0.7327, 0.1250, 0.2500], [0.0173, 0.6250, 0.2500], [0.3750, 0.2673, 0.7500], [0.8750, 0.9827, 0.7500], [0.0000, 0.0000, 0.0000], [0.7500, 0.2500, 0.5000], [0.5000, 0.5000, 0.0000], [0.2500, 0.7500, 0.5000]]}

---

{"formula": "AgHCl4", "functional": "PBE", "state": "relaxed", "total_energy_ev_per_cell": -30.36, "vol_a3_per_cell": 335.5, "cell": [[-11.5740, 1.4598, -8.2622], [6.7565, -3.9788, 8.0377], [0.8209, 8.4260, 1.0888]], "species": ["Ag", "Ag", "H", "H", "Cl", "Cl", "Cl", "Cl", "Cl", "Cl", "Cl", "Cl"], "frac_coords": [[0.4589, 0.1575, 0.8101], [0.5411, 0.8425, 0.1899], [0.8505, 0.6194, 0.6258], [0.1495, 0.3806, 0.3742], [0.1730, 0.3031, 0.2744], [0.7838, 0.0891, 0.0148], [0.8878, 0.5211, 0.4880], [0.9732, 0.6992, 0.1260], [0.8270, 0.6969, 0.7256], [0.1122, 0.4789, 0.5120], [0.2162, 0.9109, 0.9852], [0.0268, 0.3008, 0.8740]]}

---

{"formula": "AgHCl2", "functional": "PBE", "state": "relaxed", "de_polymorph_mev_per_atom": 944, "total_energy_ev_per_cell": -7.94, "vol_a3_per_cell": 70.2, "cell": [[-2.1876, -1.1167, 3.9262], [-4.1964, 1.7453, 0.8896], [-3.7252, -2.7484, -0.1260]], "species": ["H", "Ag", "Cl", "Cl"], "frac_coords": [[0.0000, 0.0000, 0.0000], [0.5000, 0.5000, 0.5000], [0.2500, 0.2500, 0.2500], [0.7500, 0.7500, 0.7500]]}